DFT (PBE) results for a geometry-optimized Sm8Y4Er3 structure.

Values from the calculation:
Formation energy ... 0.3501 eV/atom
Calculated total energy ... -72.0 eV per cell
Space-group type ... No. 12

abc: 9.1438 9.1438 6.9012
angles: 110.93 110.93 82.80
Sites, in units of the cell vectors:
Sm (0.2014, 0.2014, 0.1768)
Sm (0.2030, 0.7970, 0.0000)
Sm (0.2513, 0.7487, 0.5000)
Sm (0.2533, 0.2533, 0.7128)
Sm (0.7467, 0.7467, 0.2872)
Sm (0.7487, 0.2513, 0.5000)
Sm (0.7970, 0.2030, 0.0000)
Sm (0.7986, 0.7986, 0.8232)
Y (0.0000, 0.5000, 0.0000)
Y (0.5000, 0.0000, 0.0000)
Y (0.5000, 0.5000, 0.0000)
Y (0.5000, 0.5000, 0.5000)
Er (0.0000, 0.0000, 0.5000)
Er (0.0000, 0.5000, 0.5000)
Er (0.5000, 0.0000, 0.5000)